[1]
Below is UGaRe2 after structural relaxation, with properties calculated at the PBE level.

Properties
Density of states at the Fermi level = 1.783 states/eV/atom
Size of the total moment = 0.10 μB/cell
Offset from the most stable computed form = 345.9 meV per atom
Final energy = -0.6964 Ry/atom

CIF file:
```
data_UGaRe2
_space_group_name_H-M_alt 'R -3 m'
_space_group_IT_number 166
_space_group_name_Hall '-R 3 2"'
_cell_length_a 2.8157
_cell_length_b 2.8157
_cell_length_c 29.1485
_cell_angle_alpha 90.00
_cell_angle_beta 90.00
_cell_angle_gamma 120.00
loop_
_atom_site_label
_atom_site_fract_x
_atom_site_fract_y
_atom_site_fract_z
U1 0.0000 0.0000 0.0000
Ga1 0.0000 0.0000 0.5000
Re1 0.0000 0.0000 0.2418
```


[2]
Below is U2GaRe after structural relaxation, with properties calculated at the PBE level.

Properties
Density of states at the Fermi level = 1.911 states/eV/atom
Size of the total moment = 4.92 μB/cell
Offset from the most stable computed form = 295.7 meV per atom
Final energy = -0.6804 Ry/atom

CIF file:
```
data_U2GaRe
_space_group_name_H-M_alt 'C 1 2/m 1'
_space_group_IT_number 12
_space_group_name_Hall '-C 2y'
_cell_length_a 10.239
_cell_length_b 2.778
_cell_length_c 5.368
_cell_angle_alpha 90.00
_cell_angle_beta 91.95
_cell_angle_gamma 90.00
loop_
_atom_site_label
_atom_site_fract_x
_atom_site_fract_y
_atom_site_fract_z
U1 0.242 0.000 0.259
Ga1 0.000 0.500 0.000
Re1 0.000 0.500 0.500
```


[3]
Below is UGaRe after structural relaxation, with properties calculated at the PBE level.

Properties
Density of states at the Fermi level = 1.589 states/eV/atom
Size of the total moment = 1.16 μB/cell
Final energy = -0.6578 Ry/atom

CIF file:
```
data_UGaRe
_space_group_name_H-M_alt 'P -1'
_space_group_IT_number 2
_space_group_name_Hall '-P 1'
_cell_length_a 4.456
_cell_length_b 5.047
_cell_length_c 5.829
_cell_angle_alpha 75.15
_cell_angle_beta 68.00
_cell_angle_gamma 72.39
loop_
_atom_site_label
_atom_site_fract_x
_atom_site_fract_y
_atom_site_fract_z
U1 0.099 0.188 0.180
Ga1 0.379 0.251 0.586
Re1 0.257 0.644 0.190
```


Taking the records one at a time from the top gives energy relative to the elements values of 0.3277; 0.2557; -0.0289 eV per atom.